Material: K3BeBi
Method: DFT, PBE-GGA
State: optimized geometry

Values from the calculation:
- formation energy from the elements (eV/f.u.) = 2.4
- total energy (eV per atom) = -1.699
- crystal system = cubic

Cell lengths 6.868, 6.868, 6.868 Å; angles 90.00, 90.00, 90.00 degrees
Fractional positions:
Bi1 0.000 0.000 0.000
K1 0.000 0.000 0.500
K2 0.500 0.000 0.000
K3 0.000 0.500 0.000
Be1 0.500 0.500 0.500